The following is a PBE calculation of an optimized crystal structure of BaCoHgSe3, from OQMD.

a = 7.428 Å, b = 7.428 Å, c = 10.686 Å
α = 90.00°, β = 90.00°, γ = 147.64°
Element x y z (fractional)
Ba  0.231  0.769  0.750
Ba  0.769  0.231  0.250
Co  0.000  0.000  0.000
Co  0.000  0.000  0.500
Hg  0.477  0.523  0.250
Hg  0.523  0.477  0.750
Se  0.092  0.908  0.250
Se  0.380  0.620  0.041
Se  0.380  0.620  0.459
Se  0.620  0.380  0.541
Se  0.620  0.380  0.959
Se  0.908  0.092  0.750

Properties
- E (eV/atom) = -3.790

The following is a PBE calculation of an optimized crystal structure of GdDyCo, from OQMD.

a = 6.572 Å, b = 6.572 Å, c = 6.572 Å
α = 90.00°, β = 90.00°, γ = 90.00°
Element x y z (fractional)
Gd  0.000  0.000  0.000
Gd  0.000  0.500  0.500
Gd  0.500  0.000  0.500
Gd  0.500  0.500  0.000
Dy  0.250  0.250  0.750
Dy  0.250  0.750  0.250
Dy  0.750  0.250  0.250
Dy  0.750  0.750  0.750
Co  0.000  0.000  0.500
Co  0.000  0.500  0.000
Co  0.500  0.000  0.000
Co  0.500  0.500  0.500

Properties
- E (eV/atom) = -4.673
- ΔH_f (0 K) (kJ/mol of formula units) = 226

The following is a PBE calculation of an optimized crystal structure of NdSm2Zn2Si4Pd2, from OQMD.

a = 12.920 Å, b = 12.920 Å, c = 12.920 Å
α = 161.82°, β = 161.25°, γ = 26.23°
Element x y z (fractional)
Nd  0.000  0.000  0.000
Sm  0.354  0.854  0.500
Sm  0.646  0.146  0.500
Zn  0.250  0.250  0.000
Zn  0.750  0.750  0.000
Si  0.190  0.690  0.500
Si  0.452  0.452  0.000
Si  0.548  0.548  0.000
Si  0.810  0.310  0.500
Pd  0.095  0.595  0.500
Pd  0.905  0.405  0.500

Properties
- E (eV/atom) = -5.188

The following is a PBE calculation of an optimized crystal structure of TmGeAuSe3, from OQMD.

a = 13.200 Å, b = 3.936 Å, c = 10.868 Å
α = 90.00°, β = 90.00°, γ = 90.00°
Element x y z (fractional)
Tm  0.005  0.250  0.172
Tm  0.495  0.750  0.672
Tm  0.505  0.250  0.328
Tm  0.995  0.750  0.828
Ge  0.212  0.250  0.444
Ge  0.288  0.750  0.944
Ge  0.712  0.250  0.056
Ge  0.788  0.750  0.556
Au  0.002  0.750  0.402
Au  0.498  0.250  0.902
Au  0.502  0.750  0.098
Au  0.998  0.250  0.598
Se  0.116  0.250  0.945
Se  0.139  0.750  0.621
Se  0.151  0.750  0.250
Se  0.349  0.250  0.750
Se  0.361  0.250  0.121
Se  0.384  0.750  0.445
Se  0.616  0.250  0.555
Se  0.639  0.750  0.879
Se  0.651  0.750  0.250
Se  0.849  0.250  0.750
Se  0.861  0.250  0.379
Se  0.884  0.750  0.055

Properties
- E (eV/atom) = -4.540